VASP calculation (PBE-GGA) on a geometry-optimized NaTmTe structure.

Lattice parameters (Å, degrees): 5.1361 5.1361 5.1361 60.00 60.00 60.00
Closest atoms and distances in Å follow each position.
Fractional coordinates of all 3 atoms:
Na 0.0000 0.0000 0.0000  4 Tm 3.15
Tm 0.2500 0.2500 0.2500  4 Na 3.15, 4 Te 3.15
Te 0.5000 0.5000 0.5000  4 Tm 3.15

Raw total energy = -3.174 eV per atom
V = 31.934 A^3/atom
Energy above the most stable polymorph in this dataset = 47 kJ/mol of formula units